A relaxed structure of BeSnPt3. Source: Alexandria via LeMat-Bulk, functional PBE.

Unit cell a=4.916 b=4.916 c=4.916 alpha=90.00 beta=90.00 gamma=90.00
Atoms (fractional coordinates):
Pt 0.000 0.500 0.000
Pt 0.500 0.000 0.000
Pt 0.000 0.000 0.500
Sn 0.000 0.000 0.000
Be 0.500 0.500 0.500

Summary:
**DOS(E_F)**: 2.38 states/eV/f.u.
**Energy relative to the lowest polymorph listed for this composition**: 1.3795 eV/atom
**Final energy**: -19.668 eV for the cell shown
**Formation energy**: 1.2367 eV per atom
**Theoretical density**: 10.0 Mg/m³

A relaxed structure of RbCaPuBr6. Source: Alexandria via LeMat-Bulk, functional PBE.

Unit cell a=7.601 b=7.601 c=14.948 alpha=90.00 beta=90.00 gamma=120.00
Atoms (fractional coordinates):
Br 0.997 0.371 0.140
Br 0.374 0.371 0.360
Br 0.629 0.626 0.140
Br 0.003 0.374 0.640
Br 0.371 0.997 0.640
Br 0.626 0.997 0.860
Br 0.997 0.626 0.360
Br 0.371 0.374 0.860
Br 0.003 0.629 0.860
Br 0.626 0.629 0.640
Br 0.374 0.003 0.140
Br 0.629 0.003 0.360
Pu 0.667 0.333 0.250
Pu 0.333 0.667 0.750
Ca 0.333 0.667 0.250
Ca 0.667 0.333 0.750
Rb 0.000 0.000 0.500
Rb 0.000 0.000 0.000

Summary:
**DOS(E_F)**: 12.48 states/eV/f.u.
**Final energy**: -86.475 eV for the cell shown
**Theoretical density**: 3.8 Mg/m³

A relaxed structure of FeRuRh2Au. Source: Alexandria via LeMat-Bulk, functional PBE.

Unit cell a=4.477 b=4.334 c=4.477 alpha=90.00 beta=90.00 gamma=90.00
Atoms (fractional coordinates):
Au 0.500 0.500 0.500
Rh 0.500 0.000 0.000
Rh 0.000 0.000 0.500
Ru 0.000 0.500 0.000
Fe 0.000 0.000 0.000

Summary:
**DOS(E_F)**: 9.88 states/eV/f.u.
**Final energy**: -30.104 eV for the cell shown
**Formation energy**: 1.1230 eV per atom
**Theoretical density**: 10.7 Mg/m³

A relaxed structure of CsNaSrBr4. Source: Alexandria via LeMat-Bulk, functional PBE.

Unit cell a=7.976 b=7.837 c=11.018 alpha=90.00 beta=123.43 gamma=90.00
Atoms (fractional coordinates):
Br 0.913 0.502 0.296
Br 0.549 0.750 0.593
Br 0.386 0.750 0.160
Br 0.087 0.002 0.704
Br 0.087 0.498 0.704
Br 0.913 0.998 0.296
Br 0.451 0.250 0.407
Br 0.614 0.250 0.840
Sr 0.208 0.250 0.542
Sr 0.792 0.750 0.458
Cs 0.425 0.250 0.079
Cs 0.575 0.750 0.921
Na 0.801 0.250 0.685
Na 0.199 0.750 0.315

Summary:
**DOS(E_F)**: 0.00 states/eV/f.u.
**Final energy**: -46.737 eV for the cell shown
**Theoretical density**: 3.3 Mg/m³

A relaxed structure of MnPtPb. Source: Alexandria via LeMat-Bulk, functional PBE.

Unit cell a=3.544 b=3.544 c=5.779 alpha=90.00 beta=90.00 gamma=120.00
Atoms (fractional coordinates):
Pt 0.333 0.667 0.701
Mn 0.000 0.000 0.956
Pb 0.667 0.333 0.343

Summary:
**DOS(E_F)**: 1.87 states/eV/f.u.
**Final energy**: -18.419 eV for the cell shown
**Formation energy**: 0.1664 eV per atom
**Theoretical density**: 12.1 Mg/m³

A relaxed structure of LaGeAs2. Source: Alexandria via LeMat-Bulk, functional PBE.

Unit cell a=4.140 b=4.652 c=4.652 alpha=90.00 beta=90.00 gamma=90.00
Atoms (fractional coordinates):
As 0.000 0.000 0.500
As 0.000 0.500 0.000
Ge 0.500 0.500 0.500
La 0.500 0.000 0.000

Summary:
**DOS(E_F)**: 2.72 states/eV/f.u.
**Final energy**: -21.263 eV for the cell shown
**Formation energy**: -0.6049 eV per atom
**Theoretical density**: 6.7 Mg/m³

A relaxed structure of ZrCr2Pt. Source: Alexandria via LeMat-Bulk, functional PBE.

Unit cell a=4.017 b=2.803 c=5.676 alpha=73.78 beta=90.00 gamma=90.00
Atoms (fractional coordinates):
Cr 0.500 0.196 0.216
Cr 0.000 0.064 0.048
Pt 0.000 0.451 0.479
Zr 0.500 0.788 0.757

Summary:
**DOS(E_F)**: 3.92 states/eV/f.u.
**Final energy**: -34.190 eV for the cell shown
**Formation energy**: -0.0885 eV per atom
**Theoretical density**: 10.6 Mg/m³

A relaxed structure of La4Sm3Y. Source: Alexandria via LeMat-Bulk, functional PBE.

Unit cell a=3.513 b=6.334 c=12.871 alpha=92.82 beta=97.84 gamma=90.00
Atoms (fractional coordinates):
La 0.280 0.753 0.559
La 0.106 0.240 0.212
La 0.894 0.760 0.788
La 0.720 0.247 0.441
Y 0.500 0.000 0.000
Sm 0.858 0.253 0.716
Sm 0.000 0.500 0.000
Sm 0.142 0.747 0.284

Summary:
**DOS(E_F)**: 12.67 states/eV/f.u.
**Energy relative to the lowest polymorph listed for this composition**: 0.1749 eV/atom
**Final energy**: -38.673 eV for the cell shown
**Formation energy**: 0.2072 eV per atom
**Theoretical density**: 6.4 Mg/m³

> DOS(E_F) of number 5 (MnPtPb)?

1.87 states/eV/f.u.

> Which of these has the highest DOS(E_F)?

La4Sm3Y

> Look up the theoretical density of the third one.

10.7 Mg/m³

> Which formula does entry 2 have?

RbCaPuBr6